Entry 1:
## Li2WCl (SCAN)

Data for a PBEsol-optimized structure of Li2WCl.

POSCAR file:
```
Li2WCl
1.0
2.797 0.000 0.000
0.000 2.809 0.000
-1.398 -1.404 8.353
Li W Cl
2 1 1
Direct
0.053 0.053 0.106
0.220 0.720 0.440
0.428 0.428 0.856
0.799 0.299 0.597
```

## Properties
The total energy comes out at -81.8 eV for the cell shown. As for the uncorrected formation energy: 0.68 eV/f.u. Its symmetry is Imm2 (44). Its density of states at the Fermi level is 1.82 states/eV/f.u.



Entry 2:
## LiYCl (SCAN)

Data for a PBEsol-optimized structure of LiYCl.

POSCAR file:
```
LiYCl
1.0
3.269 0.000 0.000
0.000 3.269 0.000
-1.635 -1.635 6.264
Cl Y Li
1 1 1
Direct
0.994 0.994 0.988
0.354 0.354 0.709
0.652 0.652 0.303
```

## Properties
The total energy comes out at -40.7 eV for the cell shown. As for the uncorrected formation energy: -2.54 eV/f.u. Its symmetry is I4mm (107). Its density of states at the Fermi level is 1.43 states/eV/f.u.



Entry 3:
## LiYCl (SCAN)

Data for a PBEsol-optimized structure of LiYCl.

POSCAR file:
```
LiYCl
1.0
3.454 0.016 0.000
-1.703 3.005 0.000
-0.876 -1.510 6.741
Y Li Cl
1 1 1
Direct
0.651 0.651 0.302
0.361 0.361 0.721
0.989 0.989 0.977
```

## Properties
The total energy comes out at -41.1 eV for the cell shown. As for the uncorrected formation energy: -2.85 eV/f.u. Its symmetry is Fmm2 (42). Its density of states at the Fermi level is 0.92 states/eV/f.u.



Entry 4:
## Li3YCl (SCAN)

Data for a PBEsol-optimized structure of Li3YCl.

POSCAR file:
```
Li3YCl
1.0
-5.041 0.382 -3.164
-0.252 -5.950 -0.316
-3.177 -0.133 5.046
Cl Li Y
1 3 1
Direct
0.500 0.500 0.500
0.000 0.000 0.500
0.500 0.000 0.000
0.000 0.500 0.000
0.000 0.000 0.000
```

## Properties
The total energy comes out at -39.5 eV for the cell shown. As for the uncorrected formation energy: 3.51 eV/f.u. Its symmetry is Pm-3m (221). Its density of states at the Fermi level is 1.73 states/eV/f.u.



Entry 5:
## Li2YCl (SCAN)

Data for a PBEsol-optimized structure of Li2YCl.

POSCAR file:
```
Li2YCl
1.0
-0.092 -2.200 2.492
1.535 -1.135 -2.723
7.591 3.078 2.997
Y Li Cl
1 2 1
Direct
0.500 0.500 0.500
0.000 0.000 0.823
0.000 0.000 0.177
0.500 0.500 0.000
```

## Properties
The total energy comes out at -43.7 eV for the cell shown. As for the uncorrected formation energy: -3.10 eV/f.u. Its symmetry is Cmmm (65). Its density of states at the Fermi level is 0.85 states/eV/f.u.



Entry 6:
## Li2YCl (SCAN)

Data for a PBEsol-optimized structure of Li2YCl.

POSCAR file:
```
Li2YCl
1.0
-1.175 2.477 -2.681
-2.970 -2.285 -0.810
-1.231 2.752 5.824
Cl Li Y
1 2 1
Direct
0.000 0.000 0.000
0.250 0.750 0.500
0.750 0.250 0.500
0.500 0.500 0.000
```

## Properties
The total energy comes out at -42.7 eV for the cell shown. As for the uncorrected formation energy: -2.05 eV/f.u. Its symmetry is I4/mmm (139). Its density of states at the Fermi level is 2.35 states/eV/f.u.



What did the sixth record say?
## Li2YCl (SCAN)

Data for a PBEsol-optimized structure of Li2YCl.

POSCAR file:
```
Li2YCl
1.0
-1.175 2.477 -2.681
-2.970 -2.285 -0.810
-1.231 2.752 5.824
Cl Li Y
1 2 1
Direct
0.000 0.000 0.000
0.250 0.750 0.500
0.750 0.250 0.500
0.500 0.500 0.000
```

## Properties
The total energy comes out at -42.7 eV for the cell shown. As for the uncorrected formation energy: -2.05 eV/f.u. Its symmetry is I4/mmm (139). Its density of states at the Fermi level is 2.35 states/eV/f.u.



Copy entry 1 word for word.
## Li2WCl (SCAN)

Data for a PBEsol-optimized structure of Li2WCl.

POSCAR file:
```
Li2WCl
1.0
2.797 0.000 0.000
0.000 2.809 0.000
-1.398 -1.404 8.353
Li W Cl
2 1 1
Direct
0.053 0.053 0.106
0.220 0.720 0.440
0.428 0.428 0.856
0.799 0.299 0.597
```

## Properties
The total energy comes out at -81.8 eV for the cell shown. As for the uncorrected formation energy: 0.68 eV/f.u. Its symmetry is Imm2 (44). Its density of states at the Fermi level is 1.82 states/eV/f.u.